(1)
Tm2Ta PBE relaxed; ΔH_f (0 K) = 250 kJ/mol of atoms; space-group type = Fd-3m
1.0
0.000 6.173 6.173
6.173 0.000 6.173
6.173 6.173 0.000
Tm Ta
4 2
Cartesian
0.000 0.000 0.000
3.086 3.086 0.000
3.086 0.000 3.086
0.000 3.086 3.086
1.543 1.543 1.543
10.803 10.803 10.803


(2)
LaHoBr3N PBE relaxed; raw total energy = -5.637 eV per atom; space-group type = C2/m
1.0
8.792 -1.977 0.000
8.792 1.977 0.000
-6.134 0.000 9.597
La Ho Br N
2 2 6 2
Cartesian
-1.323 0.000 4.365
12.773 0.000 5.232
5.097 0.000 2.054
6.352 0.000 7.543
2.893 0.000 0.089
2.470 0.000 3.517
3.431 0.000 7.435
8.019 0.000 2.162
8.979 0.000 6.080
8.557 0.000 9.508
-2.691 0.000 6.289
14.141 0.000 3.308


(3)
Sc2Al2Pd PBE relaxed; raw total energy = -5.280 eV per atom; space-group type = I4/mmm
1.0
-1.784 1.784 7.885
1.784 -1.784 7.885
1.784 1.784 -7.885
Sc Al Pd
2 2 1
Cartesian
0.000 0.000 1.511
0.000 0.000 14.260
1.784 0.000 3.943
0.000 1.784 3.943
0.000 0.000 7.885


(4)
LaTa PBE relaxed; ΔH_f (0 K) = 230 kJ/mol of atoms; space-group type = F-43m
1.0
0.000 3.253 3.253
3.253 0.000 3.253
3.253 3.253 0.000
La Ta
1 1
Cartesian
0.000 0.000 0.000
4.880 4.880 4.880


(5)
PuNbTe PBE relaxed; raw total energy = -8.996 eV per atom; space-group type = F-43m
1.0
0.000 3.352 3.352
3.352 0.000 3.352
3.352 3.352 0.000
Pu Nb Te
1 1 1
Cartesian
0.000 0.000 0.000
1.676 1.676 1.676
3.352 3.352 3.352


(6)
Na6Pt PBE relaxed; raw total energy = -1.996 eV per atom; space-group type = C2/c
1.0
8.378 -3.031 0.000
8.378 3.031 0.000
-8.026 0.000 14.210
Na Pt
24 4
Cartesian
0.322 1.783 8.908
2.754 0.345 0.444
-1.720 0.554 11.369
5.225 1.193 2.497
1.261 1.704 12.156
3.456 1.704 9.159
-1.259 -0.345 7.549
4.385 1.284 6.058
8.359 1.284 1.047
2.293 -0.554 4.264
4.395 1.783 12.407
7.519 1.193 4.608
1.211 -1.193 9.601
4.335 -1.783 1.803
6.437 0.554 9.945
0.372 -1.284 13.163
4.346 -1.284 8.152
9.989 0.345 6.661
5.274 -1.704 5.051
7.469 -1.704 2.054
3.506 -1.193 11.713
10.450 -0.554 2.840
5.976 -0.345 13.766
8.408 -1.783 5.302
1.940 0.173 7.135
5.953 -0.173 0.030
2.777 0.173 14.180
6.790 -0.173 7.075


(7)
SrTaBi PBE relaxed; raw total energy = -4.538 eV per atom; space-group type = F-43m
1.0
0.000 3.746 3.746
3.746 0.000 3.746
3.746 3.746 0.000
Sr Ta Bi
1 1 1
Cartesian
0.000 0.000 0.000
1.873 1.873 1.873
5.619 5.619 5.619


(8)
Tb3In3Pd2Pt PBE relaxed; raw total energy = -5.141 eV per atom; space-group type = P-62m
1.0
7.663 0.000 0.000
-3.832 6.637 0.000
0.000 0.000 3.931
Tb In Pd Pt
3 3 2 1
Cartesian
-2.285 3.957 0.000
1.547 2.680 0.000
4.569 0.000 0.000
-0.999 1.730 1.965
1.997 0.000 1.965
2.833 4.907 1.965
0.000 4.424 1.965
3.832 2.212 1.965
0.000 0.000 0.000


| no. | magnetization (μB per atom) |
| --- | --- |
| 1 | 0.2462 |
| 2 | 0.0001 |
| 3 | 0.0059 |
| 4 | 0.0155 |
| 5 | 1.7133 |
| 6 | 0.0004 |
| 7 | 1.1720 |
| 8 | 0.0022 |